1.
Here is crystalline HoMgZr2Rh4 at its relaxed geometry from the Alexandria database. Energies are from PBE.

Cell lengths 4.6378, 4.6378, 22.9025 Å; angles 90.00, 90.00, 120.00 degrees
Space group R-3m (No. 166, hexagonal axes)
One atom of each set of equivalent atoms:
Ho: 0.0000 0.0000 0.0000 x3
Mg: 0.0000 0.0000 0.5000 x3
Zr: 0.0000 0.0000 0.2444 x6
Rh: 0.0000 0.0000 0.1246 x6
Rh: 0.0000 0.0000 0.3764 x6

Summary:
**ΔE_f**: -6.3 eV/f.u.
**E_tot**: -177.00 eV per cell

---

2.
Here is crystalline Ho6MgRu5 at its relaxed geometry from the Alexandria database. Energies are from PBE.

Cell lengths 15.238, 6.914, 4.860 Å; angles 90.00, 108.49, 90.00 degrees
Space group C2/m (No. 12)
One atom of each set of equivalent atoms:
Ho: 0.000 0.233 0.000 x4
Ho: 0.173 0.241 0.674 x8
Mg: 0.000 0.500 0.500 x2
Ru: 0.000 0.000 0.500 x2
Ru: 0.161 0.500 0.161 x4
Ru: 0.167 0.000 0.167 x4

Summary:
**ΔE_f**: -4.1 eV/f.u.
**E_tot**: -159.13 eV per cell

---

3.
Here is crystalline Ho4MgRu at its relaxed geometry from the Alexandria database. Energies are from PBE.

Cell lengths 13.648, 13.648, 13.648 Å; angles 90.00, 90.00, 90.00 degrees
Space group F-43m (No. 216)
One atom of each set of equivalent atoms:
Ho: 0.000 0.000 0.187 x24
Ho: 0.062 0.250 0.750 x24
Ho: 0.156 0.156 0.344 x16
Mg: 0.079 0.079 0.579 x16
Ru: 0.139 0.139 0.139 x16

Summary:
**ΔE_f**: -1.5 eV/f.u.
**E_tot**: -491.43 eV per cell

---

4.
Here is crystalline Ho2MgRu at its relaxed geometry from the Alexandria database. Energies are from PBE.

Cell lengths 3.6448, 3.6448, 26.8974 Å; angles 90.00, 90.00, 120.00 degrees
Space group R-3m (No. 166, hexagonal axes)
One atom of each set of equivalent atoms:
Ho: 0.0000 0.0000 0.2321 x6
Mg: 0.0000 0.0000 0.0000 x3
Ru: 0.0000 0.0000 0.5000 x3

Summary:
**ΔE_f**: -0.3 eV/f.u.
**E_tot**: -60.98 eV per cell

---

5.
Here is crystalline Ho5MgRu4 at its relaxed geometry from the Alexandria database. Energies are from PBE.

Cell lengths 3.396, 3.396, 18.346 Å; angles 90.00, 90.00, 90.00 degrees
Space group P4/mmm (No. 123)
One atom of each set of equivalent atoms:
Ho: 0.000 0.000 0.000 x1
Ho: 0.000 0.000 0.183 x2
Ho: 0.000 0.000 0.366 x2
Mg: 0.500 0.500 0.500 x1
Ru: 0.500 0.500 0.093 x2
Ru: 0.500 0.500 0.281 x2

Summary:
**ΔE_f**: -3.5 eV/f.u.
**E_tot**: -65.12 eV per cell

---

6.
Here is crystalline HoMg3Ru at its relaxed geometry from the Alexandria database. Energies are from PBE.

Cell lengths 5.290, 5.873, 7.339 Å; angles 90.00, 105.32, 90.00 degrees
Space group P2_1/m (No. 11)
One atom of each set of equivalent atoms:
Ho: 0.111 0.250 0.416 x2
Mg: 0.009 0.250 0.885 x2
Mg: 0.487 0.503 0.792 x4
Ru: 0.339 0.750 0.466 x2

Summary:
**ΔE_f**: -0.8 eV/f.u.
**E_tot**: -38.80 eV per cell

---

7.
Here is crystalline HoMgRu at its relaxed geometry from the Alexandria database. Energies are from PBE.

Cell lengths 3.415, 14.868, 4.764 Å; angles 90.00, 90.00, 90.00 degrees
Space group Cmcm (No. 63)
One atom of each set of equivalent atoms:
Ho: 0.000 0.077 0.250 x4
Mg: 0.000 0.227 0.750 x4
Ru: 0.000 0.417 0.250 x4

Summary:
**ΔE_f**: -0.8 eV/f.u.
**E_tot**: -64.83 eV per cell

---

8.
Here is crystalline HoMgRu4 at its relaxed geometry from the Alexandria database. Energies are from PBE.

Cell lengths 7.418, 7.418, 7.418 Å; angles 90.00, 90.00, 90.00 degrees
Space group F-43m (No. 216)
One atom of each set of equivalent atoms:
Ho: 0.000 0.000 0.000 x4
Mg: 0.250 0.250 0.750 x4
Ru: 0.125 0.125 0.375 x16

Summary:
**ΔE_f**: -0.6 eV/f.u.
**E_tot**: -175.60 eV per cell

---

9.
Here is crystalline Ho5Mg4Ru at its relaxed geometry from the Alexandria database. Energies are from PBE.

Cell lengths 3.570, 3.570, 19.864 Å; angles 90.00, 90.00, 90.00 degrees
Space group P4/mmm (No. 123)
One atom of each set of equivalent atoms:
Ho: 0.000 0.000 0.000 x1
Ho: 0.000 0.000 0.206 x2
Ho: 0.000 0.000 0.420 x2
Mg: 0.500 0.500 0.103 x2
Mg: 0.500 0.500 0.309 x2
Ru: 0.500 0.500 0.500 x1

Summary:
**ΔE_f**: -1.6 eV/f.u.
**E_tot**: -40.11 eV per cell

---

10.
Here is crystalline Ho8Mg2Ru at its relaxed geometry from the Alexandria database. Energies are from PBE.

Cell lengths 17.328, 5.477, 6.986 Å; angles 90.00, 111.43, 90.00 degrees
Space group C2/m (No. 12)
One atom of each set of equivalent atoms:
Ho: 0.014 0.000 0.277 x4
Ho: 0.103 0.500 0.902 x4
Ho: 0.142 0.500 0.421 x4
Ho: 0.191 0.000 0.746 x4
Mg: 0.185 0.000 0.193 x4
Ru: 0.000 0.500 0.500 x2

Summary:
**ΔE_f**: -0.9 eV/f.u.
**E_tot**: -100.00 eV per cell

---

11.
Here is crystalline Ho2Mg3Ru2 at its relaxed geometry from the Alexandria database. Energies are from PBE.

Cell lengths 10.085, 4.351, 7.015 Å; angles 90.00, 98.59, 90.00 degrees
Space group C2/m (No. 12)
One atom of each set of equivalent atoms:
Ho: 0.130 0.000 0.371 x4
Mg: 0.000 0.500 0.000 x2
Mg: 0.184 0.000 0.859 x4
Ru: 0.082 0.500 0.649 x4

Summary:
**ΔE_f**: -1.6 eV/f.u.
**E_tot**: -68.13 eV per cell

---

12.
Here is crystalline HoMgRu at its relaxed geometry from the Alexandria database. Energies are from PBE.

Cell lengths 4.5266, 4.5266, 3.4401 Å; angles 90.00, 90.00, 120.00 degrees
Space group P3m1 (No. 156)
One atom of each set of equivalent atoms:
Ho: 0.0000 0.0000 0.0000 x1
Mg: 0.3333 0.6667 0.4811 x1
Ru: 0.6667 0.3333 0.5636 x1

Summary:
**ΔE_f**: -0.2 eV/f.u.
**E_tot**: -15.68 eV per cell